No. 1
5
Lattice="4.985 0.000 0.000 0.000 4.985 0.000 0.000 0.000 4.985" Properties=species:S:1:pos:R:3 comment="PBE-GGA NaSc3Fe, optimized geometry" e_form_ev_per_atom=1.65 crystal_system=cubic pbc="T T T"
Na 0.000 0.000 0.000
Sc 0.000 0.000 2.493
Sc 0.000 2.493 0.000
Sc 2.493 0.000 0.000
Fe 2.493 2.493 2.493

No. 2
16
Lattice="1.676 -5.704 0.000 1.676 5.704 0.000 0.000 0.000 11.463" Properties=species:S:1:pos:R:3 comment="PBE-GGA CeTm2CrN4, optimized geometry" e_form_raw_mev_per_atom=-1323 crystal_system=orthorhombic pbc="T T T"
Ce 1.676 4.597 8.598
Ce 1.676 -4.597 2.866
Tm 1.676 1.487 6.236
Tm 1.676 1.487 10.959
Tm 1.676 -1.487 0.505
Tm 1.676 -1.487 5.227
Cr 1.676 3.829 2.866
Cr 1.676 -3.829 8.598
N 0.000 0.000 0.000
N 0.000 0.000 5.732
N 1.676 2.665 1.451
N 1.676 2.665 4.281
N 1.676 0.817 8.598
N 1.676 -0.817 2.866
N 1.676 -2.665 7.182
N 1.676 -2.665 10.013

No. 3
18
Lattice="9.002 0.000 0.000 0.000 9.002 0.000 0.000 0.000 4.358" Properties=species:S:1:pos:R:3 comment="PBE-GGA Hf6Al2Ni, optimized geometry" e_form_ev_per_atom=-0.22 crystal_system=tetragonal pbc="T T T"
Hf 0.246 2.936 0.000
Hf 1.152 7.850 2.179
Hf 1.564 4.747 2.179
Hf 2.936 0.246 0.000
Hf 3.349 3.349 0.000
Hf 4.254 7.437 2.179
Hf 4.747 1.564 2.179
Hf 5.653 5.653 0.000
Hf 6.065 8.755 0.000
Hf 7.437 4.254 2.179
Hf 7.850 1.152 2.179
Hf 8.755 6.065 0.000
Al 1.844 1.844 2.179
Al 2.657 6.345 0.000
Al 6.345 2.657 0.000
Al 7.157 7.157 2.179
Ni 0.000 0.000 0.000
Ni 4.501 4.501 2.179

No. 4
20
Lattice="2.162 -12.525 0.000 2.162 12.525 0.000 0.000 0.000 6.827" Properties=species:S:1:pos:R:3 comment="PBE-GGA Ca2Al5Pt3, optimized geometry" e_form_ev_per_atom=-0.88 crystal_system=orthorhombic pbc="T T T"
Ca 2.162 12.028 3.414
Ca 2.162 4.407 3.769
Ca 2.162 -4.407 0.356
Ca 2.162 -12.028 0.000
Al 2.162 9.982 5.907
Al 2.162 7.338 2.506
Al 2.162 7.226 5.224
Al 2.162 3.174 0.094
Al 2.162 1.376 4.583
Al 2.162 -1.376 1.170
Al 2.162 -3.174 3.507
Al 2.162 -7.226 1.810
Al 2.162 -7.338 5.920
Al 2.162 -9.982 2.493
Pt 2.162 9.792 1.711
Pt 2.162 5.699 0.473
Pt 2.162 1.294 1.958
Pt 2.162 -1.294 5.372
Pt 2.162 -5.699 3.886
Pt 2.162 -9.792 5.125

No. 5
11
Lattice="-2.486 5.621 6.328 2.486 -5.621 6.328 2.486 5.621 -6.328" Properties=species:S:1:pos:R:3 comment="PBE-GGA Sm5Ho2Al4, optimized geometry" e_form_ev_per_atom=0.21 crystal_system=orthorhombic pbc="T T T"
Sm 0.000 0.000 0.000
Sm 2.486 3.884 -2.423
Sm 0.000 1.737 3.905
Sm 2.486 3.884 2.423
Sm 0.000 1.737 8.751
Ho 2.486 0.000 2.229
Ho 0.000 5.621 4.100
Al 2.486 1.997 0.000
Al 2.486 0.000 5.049
Al 0.000 5.621 1.279
Al 0.000 3.625 6.328

No. 6
7
Lattice="6.640 -1.756 0.000 6.640 1.756 0.000 -3.126 0.000 8.404" Properties=species:S:1:pos:R:3 comment="PBE-GGA Ta2Te5, optimized geometry" e_form_raw_mev_per_atom=-156 crystal_system=monoclinic pbc="T T T"
Ta 0.687 0.000 3.585
Ta 9.466 0.000 4.819
Te -2.254 0.000 7.280
Te 1.252 0.000 6.310
Te 5.077 0.000 4.202
Te 8.901 0.000 2.094
Te 12.407 0.000 1.124

No. 7
4
Lattice="0.000 3.268 3.268 3.268 0.000 3.268 3.268 3.268 0.000" Properties=species:S:1:pos:R:3 comment="PBE-GGA BaFe2Mo, optimized geometry" e_form_ev_per_atom=1.40 crystal_system=cubic pbc="T T T"
Ba 0.000 0.000 0.000
Fe 1.634 1.634 1.634
Fe 4.901 4.901 4.901
Mo 3.268 3.268 3.268

No. 8
4
Lattice="0.000 3.845 3.845 3.845 0.000 3.845 3.845 3.845 0.000" Properties=species:S:1:pos:R:3 comment="PBE-GGA In2SnPb, optimized geometry" e_form_ev_per_atom=0.04 crystal_system=cubic pbc="T T T"
In 1.922 1.922 1.922
In 5.767 5.767 5.767
Sn 0.000 0.000 0.000
Pb 3.845 3.845 3.845

No. 9
8
Lattice="6.871 0.000 0.000 0.000 3.955 0.000 -2.280 0.000 6.577" Properties=species:S:1:pos:R:3 comment="PBE-GGA CeNdY2S4, optimized geometry" e_form_raw_mev_per_atom=-2025 crystal_system=monoclinic pbc="T T T"
Ce 0.000 0.000 0.000
Nd 3.435 1.977 0.000
Y -1.140 1.977 3.288
Y 2.295 0.000 3.288
S -0.005 0.000 4.849
S 1.138 1.977 1.721
S 3.453 1.977 4.856
S 4.595 0.000 1.728

No. 10
5
Lattice="8.002 0.000 0.000 0.000 8.002 0.000 0.000 0.000 8.002" Properties=species:S:1:pos:R:3 comment="PBE-GGA Cs4Li, optimized geometry" e_form_ev_per_atom=0.11 crystal_system=cubic pbc="T T T"
Cs 0.000 0.000 0.000
Cs 0.000 4.001 4.001
Cs 4.001 0.000 4.001
Cs 4.001 4.001 0.000
Li 4.001 4.001 4.001

No. 11
12
Lattice="10.701 0.000 0.000 0.000 3.585 0.000 -3.501 0.000 10.189" Properties=species:S:1:pos:R:3 comment="PBE-GGA LaPmEr3Th, optimized geometry" e_form_ev_per_atom=0.03 crystal_system=monoclinic pbc="T T T"
La 0.948 0.896 3.791
La 6.253 2.689 6.399
Pm -0.829 2.689 6.457
Pm 8.030 0.896 3.732
Er -2.603 0.896 8.960
Er 2.743 2.689 1.195
Er 2.715 2.689 6.437
Er 4.485 0.896 3.752
Er 4.458 0.896 8.995
Er 9.803 2.689 1.230
Th 0.978 0.896 8.937
Th 6.223 2.689 1.253

No. 12
10
Lattice="-1.869 2.680 9.453 1.869 -2.680 9.453 1.869 2.680 -9.453" Properties=species:S:1:pos:R:3 comment="PBE-GGA PmSc4S5, optimized geometry" e_form_raw_mev_per_atom=-1864 crystal_system=orthorhombic pbc="T T T"
Pm 0.000 0.000 0.000
Sc 0.000 0.000 3.869
Sc 0.000 0.000 7.566
Sc 0.000 0.000 11.340
Sc 0.000 0.000 15.037
S 1.869 0.000 2.088
S 1.869 0.000 5.706
S 0.000 2.680 0.000
S 0.000 2.680 3.747
S 0.000 2.680 7.365

Calculated Fermi-level density of states in order - 25.4 6.4 10.0 4.5 12.6 4.4 5.6 2.0 7.8 4.4 8.7 5.8 states/eV/f.u.